No. 1
A plane-wave DFT calculation with GGA-PBE was carried out for an optimized crystal structure of ZnFeCo3.

```
data_ZnFeCo3
_chemical_formula_sum 'Zn1 Fe1 Co3'
_space_group_name_H-M_alt 'P m -3 m'
_space_group_IT_number 221
_space_group_name_Hall '-P 4 2 3'
_cell_length_a 4.270
_cell_length_b 4.270
_cell_length_c 4.270
_cell_angle_alpha 90.00
_cell_angle_beta 90.00
_cell_angle_gamma 90.00
loop_
_atom_site_label
_atom_site_type_symbol
_atom_site_fract_x
_atom_site_fract_y
_atom_site_fract_z
_atom_site_occupancy
Zn1 Zn 0.000 0.000 0.000 1
Fe1 Fe 0.500 0.500 0.500 1
Co1 Co 0.000 0.500 0.500 1
```

## Properties
- Energy relative to the elements: 1.0815 eV/atom
- Offset from the most stable computed form: 0.857 eV/atom
- Calculated total energy: -5.13 eV/atom
- M_tot: 7.1 Bohr magnetons per cell

---

No. 2
A plane-wave DFT calculation with GGA-PBE was carried out for an optimized crystal structure of Zn2Fe3Co3.

```
data_Zn2Fe3Co3
_chemical_formula_sum 'Zn4 Fe6 Co6'
_space_group_name_H-M_alt 'I m m m'
_space_group_IT_number 71
_space_group_name_Hall '-I 2 2'
_cell_length_a 2.895
_cell_length_b 4.070
_cell_length_c 16.403
_cell_angle_alpha 90.00
_cell_angle_beta 90.00
_cell_angle_gamma 90.00
loop_
_atom_site_label
_atom_site_type_symbol
_atom_site_fract_x
_atom_site_fract_y
_atom_site_fract_z
_atom_site_occupancy
Zn1 Zn 0.000 0.000 0.246 1
Fe1 Fe 0.000 0.000 0.000 1
Fe2 Fe 0.000 0.500 0.121 1
Co1 Co 0.000 0.000 0.500 1
Co2 Co 0.000 0.500 0.381 1
```

## Properties
- Energy relative to the elements: -0.0014 eV/atom
- Calculated total energy: -6.16 eV/atom
- M_tot: 26.4 Bohr magnetons per cell

---

No. 3
A plane-wave DFT calculation with GGA-PBE was carried out for an optimized crystal structure of ZnFe3Co.

```
data_ZnFe3Co
_chemical_formula_sum 'Zn1 Fe3 Co1'
_space_group_name_H-M_alt 'P m -3 m'
_space_group_IT_number 221
_space_group_name_Hall '-P 4 2 3'
_cell_length_a 4.318
_cell_length_b 4.318
_cell_length_c 4.318
_cell_angle_alpha 90.00
_cell_angle_beta 90.00
_cell_angle_gamma 90.00
loop_
_atom_site_label
_atom_site_type_symbol
_atom_site_fract_x
_atom_site_fract_y
_atom_site_fract_z
_atom_site_occupancy
Zn1 Zn 0.000 0.000 0.000 1
Fe1 Fe 0.000 0.500 0.500 1
Co1 Co 0.500 0.500 0.500 1
```

## Properties
- Energy relative to the elements: 0.9160 eV/atom
- Offset from the most stable computed form: 0.625 eV/atom
- Calculated total energy: -5.84 eV/atom
- M_tot: 9.8 Bohr magnetons per cell

---

No. 4
A plane-wave DFT calculation with GGA-PBE was carried out for an optimized crystal structure of Zn2Fe3Co2.

```
data_Zn2Fe3Co2
_chemical_formula_sum 'Zn4 Fe6 Co4'
_space_group_name_H-M_alt 'C m m m'
_space_group_IT_number 65
_space_group_name_Hall '-C 2 2'
_cell_length_a 2.812
_cell_length_b 22.151
_cell_length_c 2.819
_cell_angle_alpha 90.00
_cell_angle_beta 90.00
_cell_angle_gamma 90.00
loop_
_atom_site_label
_atom_site_type_symbol
_atom_site_fract_x
_atom_site_fract_y
_atom_site_fract_z
_atom_site_occupancy
Zn1 Zn 0.000 0.199 0.000 1
Fe1 Fe 0.000 0.067 0.000 1
Fe2 Fe 0.000 0.500 0.500 1
Co1 Co 0.000 0.372 0.500 1
```

## Properties
- Energy relative to the elements: 0.0021 eV/atom
- Calculated total energy: -6.02 eV/atom
- M_tot: 20.0 Bohr magnetons per cell

---

No. 5
A plane-wave DFT calculation with GGA-PBE was carried out for an optimized crystal structure of ZnFeCo2.

```
data_ZnFeCo2
_chemical_formula_sum 'Zn1 Fe1 Co2'
_space_group_name_H-M_alt 'P 1 m 1'
_space_group_IT_number 6
_space_group_name_Hall 'P -2y'
_cell_length_a 2.543
_cell_length_b 3.641
_cell_length_c 5.071
_cell_angle_alpha 90.00
_cell_angle_beta 90.72
_cell_angle_gamma 90.00
loop_
_atom_site_label
_atom_site_type_symbol
_atom_site_fract_x
_atom_site_fract_y
_atom_site_fract_z
_atom_site_occupancy
Zn1 Zn 0.000 0.000 0.000 1
Fe1 Fe 0.498 0.500 0.735 1
Co1 Co 0.002 0.000 0.494 1
Co2 Co 0.502 0.500 0.255 1
```

## Properties
- Energy relative to the elements: 0.0186 eV/atom
- Calculated total energy: -5.97 eV/atom
- M_tot: 5.5 Bohr magnetons per cell

---

No. 6
A plane-wave DFT calculation with GGA-PBE was carried out for an optimized crystal structure of Zn2Fe2Co15.

```
data_Zn2Fe2Co15
_chemical_formula_sum 'Zn6 Fe6 Co45'
_space_group_name_H-M_alt 'R -3 m'
_space_group_IT_number 166
_space_group_name_Hall '-R 3 2"'
_cell_length_a 8.0699
_cell_length_b 8.0699
_cell_length_c 12.1822
_cell_angle_alpha 90.00
_cell_angle_beta 90.00
_cell_angle_gamma 120.00
loop_
_atom_site_label
_atom_site_type_symbol
_atom_site_fract_x
_atom_site_fract_y
_atom_site_fract_z
_atom_site_occupancy
Zn1 Zn 0.0000 0.0000 0.1572 1
Fe1 Fe 0.0000 0.0000 0.4014 1
Co1 Co 0.0000 0.3004 0.5000 1
Co2 Co 0.0000 0.5000 0.0000 1
Co3 Co 0.0071 0.5035 0.6501 1
```

## Properties
- Energy relative to the elements: 0.1512 eV/atom
- Offset from the most stable computed form: 0.000 eV/atom
- Calculated total energy: -6.48 eV/atom
- M_tot: 88.8 Bohr magnetons per cell

---

Record-wise Fermi-level density of states values, in states/eV per cell: 11.4 10.2 2.5 9.7 3.5 57.8
Record-wise V values, in Å³ per atom: 15.57 12.08 16.10 12.54 11.74 12.05